(w)
Entry from Alexandria: an optimized crystal structure of V2PdF2 (GGA+U).

Cell lengths 4.2756, 4.2756, 5.0238 Å; angles 64.82, 64.82, 90.00 degrees
Closest atoms and distances in Å follow each position.
Atoms (fractional coordinates):
V (0.7500, 0.2500, 0.5000)  4 F 2.25
V (0.2500, 0.7500, 0.5000)  4 F 2.25
Pd (0.0000, 0.0000, 0.0000)  2 F 2.72, 8 V 2.93
F (0.3387, 0.3387, 0.3226)  4 V 2.25
F (0.6613, 0.6613, 0.6774)  4 V 2.25

Calculated values
- SG: I4/mmm, No. 139

(x)
Entry from Alexandria: an optimized crystal structure of V2PdF2 (GGA+U).

Cell lengths 7.1413, 7.1413, 3.0108 Å; angles 90.00, 90.00, 90.00 degrees
Closest atoms and distances in Å follow each position.
Atoms (fractional coordinates):
V (0.2398, 0.7398, 0.5000)  2 F 2.07
V (0.7398, 0.7602, 0.5000)  2 F 2.07
V (0.7602, 0.2602, 0.5000)  2 F 2.07
V (0.2602, 0.2398, 0.5000)  2 F 2.07
Pd (0.0000, 0.0000, 0.0000)  4 F 2.85, 8 V 2.94, 2 Pd 3.01
Pd (0.5000, 0.5000, 0.0000)  4 F 2.85, 8 V 2.94, 2 Pd 3.01
F (0.3812, 0.8812, 0.0000)  2 V 2.07
F (0.8812, 0.6188, 0.0000)  2 V 2.07
F (0.6188, 0.1188, 0.0000)  2 V 2.07
F (0.1188, 0.3812, 0.0000)  2 V 2.07

Calculated values
- SG: P4/mbm, No. 127

Most stable = (x)

(w)
Entry from Alexandria: an optimized crystal structure of V3PdF (GGA+U).

Cell lengths 4.3611, 4.3611, 4.3611 Å; angles 90.00, 90.00, 90.00 degrees
Closest atoms and distances in Å follow each position.
Atoms (fractional coordinates):
V (0.0000, 0.5000, 0.0000)  2 F 2.18
V (0.0000, 0.0000, 0.5000)  2 F 2.18
V (0.5000, 0.0000, 0.0000)  2 F 2.18
Pd (0.5000, 0.5000, 0.5000)  12 V 3.08
F (0.0000, 0.0000, 0.0000)  6 V 2.18

Calculated values
- SG: Pm-3m, No. 221

(x)
Entry from Alexandria: an optimized crystal structure of V3PdF (GGA+U).

Cell lengths 5.0804, 5.0804, 5.0804 Å; angles 90.00, 90.00, 90.00 degrees
Closest atoms and distances in Å follow each position.
Atoms (fractional coordinates):
V (0.0000, 0.5000, 0.0000)  2 Pd 2.54
V (0.0000, 0.0000, 0.5000)  2 Pd 2.54
V (0.5000, 0.0000, 0.0000)  2 Pd 2.54
Pd (0.0000, 0.0000, 0.0000)  6 V 2.54
F (0.5000, 0.5000, 0.5000)  12 V 3.59

Calculated values
- SG: Pm-3m, No. 221

Most stable = (w)

(w)
Entry from Alexandria: an optimized crystal structure of VPd3F (GGA+U).

Cell lengths 4.3776, 4.3776, 4.3776 Å; angles 90.00, 90.00, 90.00 degrees
Closest atoms and distances in Å follow each position.
Atoms (fractional coordinates):
V (0.5000, 0.5000, 0.5000)  12 Pd 3.10
Pd (0.0000, 0.5000, 0.0000)  2 F 2.19
Pd (0.0000, 0.0000, 0.5000)  2 F 2.19
Pd (0.5000, 0.0000, 0.0000)  2 F 2.19
F (0.0000, 0.0000, 0.0000)  6 Pd 2.19

Calculated values
- SG: Pm-3m, No. 221

(x)
Entry from Alexandria: an optimized crystal structure of VPd3F (GGA+U).

Cell lengths 4.6998, 4.6998, 4.6998 Å; angles 90.00, 90.00, 90.00 degrees
Closest atoms and distances in Å follow each position.
Atoms (fractional coordinates):
V (0.0000, 0.0000, 0.0000)  6 Pd 2.35
Pd (0.0000, 0.5000, 0.0000)  2 V 2.35
Pd (0.0000, 0.0000, 0.5000)  2 V 2.35
Pd (0.5000, 0.0000, 0.0000)  2 V 2.35
F (0.5000, 0.5000, 0.5000)  12 Pd 3.32

Calculated values
- SG: Pm-3m, No. 221

Most stable = (w)

(w)
Entry from Alexandria: an optimized crystal structure of PdWF2 (GGA+U).

Cell lengths 10.4980, 10.4980, 10.4980 Å; angles 15.95, 15.95, 15.95 degrees
Closest atoms and distances in Å follow each position.
Atoms (fractional coordinates):
Pd (0.5000, 0.5000, 0.5000)  6 Pd 2.91
W (0.0000, 0.0000, 0.0000)  2 F 1.87
F (0.9397, 0.9397, 0.9397)  1 W 1.87
F (0.0603, 0.0603, 0.0603)  1 W 1.87

Calculated values
- SG: R-3m, No. 166

(x)
Entry from Alexandria: an optimized crystal structure of PdWF2 (GGA+U).

Cell lengths 4.2945, 4.2945, 4.2945 Å; angles 60.00, 60.00, 60.00 degrees
Closest atoms and distances in Å follow each position.
Atoms (fractional coordinates):
Pd (0.0000, 0.0000, 0.0000)  8 F 2.63
W (0.5000, 0.5000, 0.5000)  8 F 2.63
F (0.2500, 0.2500, 0.2500)  4 W 2.63, 4 Pd 2.63
F (0.7500, 0.7500, 0.7500)  4 W 2.63, 4 Pd 2.63

Calculated values
- SG: Fm-3m, No. 225

Most stable = (w)

(w)
Entry from Alexandria: an optimized crystal structure of Pd2WF (GGA+U).

Cell lengths 4.4002, 4.4002, 4.4002 Å; angles 60.00, 60.00, 60.00 degrees
Closest atoms and distances in Å follow each position.
Atoms (fractional coordinates):
Pd (0.2500, 0.2500, 0.2500)  4 F 2.69, 4 W 2.69
Pd (0.7500, 0.7500, 0.7500)  4 F 2.69, 4 W 2.69
W (0.5000, 0.5000, 0.5000)  8 Pd 2.69
F (0.0000, 0.0000, 0.0000)  8 Pd 2.69

Calculated values
- SG: Fm-3m, No. 225

(x)
Entry from Alexandria: an optimized crystal structure of Pd2WF (GGA+U).

Cell lengths 7.2633, 7.2633, 5.7054 Å; angles 50.47, 50.47, 90.00 degrees
Closest atoms and distances in Å follow each position.
Atoms (fractional coordinates):
Pd (0.5887, 0.1250, 0.2500)  2 F 2.47, 2 Pd 2.54
Pd (0.1613, 0.6250, 0.2500)  2 F 2.47, 2 Pd 2.54
Pd (0.3750, 0.4113, 0.7500)  2 F 2.47, 2 Pd 2.54
Pd (0.8750, 0.8387, 0.7500)  2 F 2.47, 2 Pd 2.54
W (0.0000, 0.0000, 0.0000)  2 F 2.48
W (0.7500, 0.2500, 0.5000)  2 F 2.48
F (0.5000, 0.5000, 0.0000)  4 Pd 2.47, 2 W 2.48
F (0.2500, 0.7500, 0.5000)  4 Pd 2.47, 2 W 2.48

Calculated values
- SG: I-42d, No. 122

Most stable = (x)